# Sm8Ga2Au | Alexandria via LeMat-Bulk | PBE-GGA | optimized geometry
# Energy, eV per cell: -50.72
# Space group: C2/m
# Calculated density, Mg/m³: 8.01
data_Sm8Ga2Au
_symmetry_space_group_name_H-M 'P 1'
_symmetry_Int_Tables_number 1
_cell_length_a 5.0781
_cell_length_b 6.7923
_cell_length_c 9.8003
_cell_angle_alpha 101.91
_cell_angle_beta 105.02
_cell_angle_gamma 90.00
loop_
_symmetry_equiv_pos_as_xyz
'x,y,z'
loop_
_atom_site_label
_atom_site_type_symbol
_atom_site_fract_x
_atom_site_fract_y
_atom_site_fract_z
Sm1 Sm 0.7921 0.6830 0.5842
Sm2 Sm 0.9757 0.2293 0.9513
Sm3 Sm 0.6583 0.9774 0.3167
Sm4 Sm 0.4072 0.5353 0.8144
Sm5 Sm 0.2079 0.3170 0.4158
Sm6 Sm 0.0243 0.7707 0.0487
Sm7 Sm 0.5928 0.4647 0.1856
Sm8 Sm 0.3417 0.0226 0.6833
Au1 Au 0.5000 0.0000 0.0000
Ga1 Ga 0.1875 0.7548 0.3750
Ga2 Ga 0.8125 0.2452 0.6250

# CaMn3Cr | Alexandria via LeMat-Bulk | PBE-GGA | optimized geometry
# Energy, eV per cell: -35.80
# Excess energy over the best structure of this formula in the dataset, meV/atom: 0.0
# Space group: Pm-3m
# Calculated density, Mg/m³: 4.63
data_CaMn3Cr
_symmetry_space_group_name_H-M 'P 1'
_symmetry_Int_Tables_number 1
_cell_length_a 4.5181
_cell_length_b 4.5181
_cell_length_c 4.5181
_cell_angle_alpha 90.00
_cell_angle_beta 90.00
_cell_angle_gamma 90.00
loop_
_symmetry_equiv_pos_as_xyz
'x,y,z'
loop_
_atom_site_label
_atom_site_type_symbol
_atom_site_fract_x
_atom_site_fract_y
_atom_site_fract_z
Mn1 Mn 0.0000 0.0000 0.5000
Mn2 Mn 0.5000 0.0000 0.0000
Mn3 Mn 0.0000 0.5000 0.0000
Cr1 Cr 0.0000 0.0000 0.0000
Ca1 Ca 0.5000 0.5000 0.5000

What total moment values result from the calculations? In sequence: 0.0; 7.0 μB per formula unit.